# 1
The following is a PBE calculation of a relaxed structure of Co2MoS4, from the Alexandria database.

abc: 4.7876 4.7876 11.1420
angles: 90.00 90.00 90.00
Space group I4/mmm (No. 139)
One atom of each set of equivalent atoms:
1 Co 0.0000 0.0000 0.1025 x4
2 Mo 0.0000 0.0000 0.5000 x2
3 S 0.0000 0.0000 0.2902 x4
4 S 0.0000 0.5000 0.0000 x4

Properties
energy = -5.702 eV per atom
energy relative to the lowest polymorph listed for this composition = 532 meV per atom
density of states at the Fermi level = 9.296 states/eV/f.u.

# 2
The following is a PBE calculation of a relaxed structure of PrYErHg, from the Alexandria database.

abc: 3.6512 3.6512 8.9186
angles: 90.00 90.00 90.00
Space group P4mm (No. 99)
One atom of each set of equivalent atoms:
1 Pr 0.0000 0.0000 0.0000 x1
2 Y 0.5000 0.5000 0.7108 x1
3 Er 0.5000 0.5000 0.2831 x1
4 Hg 0.0000 0.0000 0.4918 x1

Properties
energy = -4.268 eV per atom
formation enthalpy at 0 K = -0.240 eV per atom
energy relative to the lowest polymorph listed for this composition = 0 meV per atom
density of states at the Fermi level = 4.941 states/eV/f.u.

# 3
The following is a PBE calculation of a relaxed structure of VHgTe2, from the Alexandria database.

abc: 3.4786 6.4596 9.9700
angles: 97.02 99.89 90.04
Space group P-1 (No. 2)
One atom of each set of equivalent atoms:
1 V 0.2455 0.3164 0.4924 x2
2 Hg 0.0162 0.7587 0.0322 x2
3 Te 0.1846 0.9030 0.3655 x2
4 Te 0.3493 0.6154 0.7034 x2

Properties
energy = -4.147 eV per atom
density of states at the Fermi level = 3.079 states/eV/f.u.

# 4
The following is a PBE calculation of a relaxed structure of Hf2CdSi, from the Alexandria database.

abc: 7.5515 7.5515 5.8905
angles: 90.00 90.00 90.00
Space group I-42d (No. 122)
One atom of each set of equivalent atoms:
1 Hf 0.2260 0.2500 0.1250 x8
2 Cd 0.0000 0.0000 0.5000 x4
3 Si 0.0000 0.0000 0.0000 x4

Properties
energy = -6.472 eV per atom
density of states at the Fermi level = 3.451 states/eV/f.u.